Record 1
Density functional theory data (PBE-GGA) for TbTa3 after structural relaxation.

DOS(E_F) = 7.437 states/eV per cell
ΔE_f = 0.413 eV per atom

Unit cell a=4.8576 b=4.8576 c=4.8576 alpha=60.00 beta=60.00 gamma=60.00
Last column: nearest neighbours and their distance in Å.
Sites, in units of the cell vectors:
Ta 0.5000 0.5000 0.5000  8 Ta 2.97
Ta 0.7500 0.7500 0.7500  4 Tb 2.97, 4 Ta 2.97
Ta 0.2500 0.2500 0.2500  4 Ta 2.97, 4 Tb 2.97
Tb 0.0000 0.0000 0.0000  8 Ta 2.97



Record 2
Density functional theory data (PBE-GGA) for SrLuGa4 after structural relaxation.

DOS(E_F) = 3.823 states/eV per cell
ΔE_f = -0.381 eV per atom

Unit cell a=5.6178 b=5.6178 c=5.6178 alpha=60.00 beta=60.00 gamma=60.00
Last column: nearest neighbours and their distance in Å.
Sites, in units of the cell vectors:
Ga 0.1236 0.6255 0.6255  6 Ga 2.80-2.82
Ga 0.6255 0.1236 0.6255  6 Ga 2.80-2.82
Ga 0.6255 0.6255 0.1236  6 Ga 2.80-2.82
Ga 0.6255 0.6255 0.6255  6 Ga 2.80-2.82
Sr 0.2500 0.2500 0.2500  12 Ga 3.29, 4 Lu 3.44
Lu 0.0000 0.0000 0.0000  12 Ga 3.29, 4 Sr 3.44



Record 3
Density functional theory data (PBE-GGA) for KRbRu3 after structural relaxation.

DOS(E_F) = 7.950 states/eV per cell
ΔE_f = 2.789 eV per atom

Unit cell a=5.1236 b=5.1236 c=5.1236 alpha=90.00 beta=90.00 gamma=90.00
Last column: nearest neighbours and their distance in Å.
Sites, in units of the cell vectors:
Ru 0.0000 0.0000 0.5000  2 K 2.56
Ru 0.0000 0.5000 0.0000  2 K 2.56
Ru 0.5000 0.0000 0.0000  2 K 2.56
K 0.0000 0.0000 0.0000  6 Ru 2.56
Rb 0.5000 0.5000 0.5000  12 Ru 3.62



Record 4
Density functional theory data (PBE-GGA) for BaSrCd2 after structural relaxation.

DOS(E_F) = 2.937 states/eV per cell
ΔE_f = -0.156 eV per atom

Unit cell a=6.4583 b=6.4583 c=6.4583 alpha=133.07 beta=133.07 gamma=68.55
Last column: nearest neighbours and their distance in Å.
Sites, in units of the cell vectors:
Sr 0.5000 0.5000 0.0000  8 Cd 3.64-3.71, 4 Ba 3.71
Cd 0.2500 0.7500 0.5000  4 Ba 3.64, 4 Cd 3.71, 4 Sr 3.71
Cd 0.0000 0.0000 0.0000  4 Sr 3.64, 4 Cd 3.71, 4 Ba 3.71
Ba 0.7500 0.2500 0.5000  8 Cd 3.64-3.71, 4 Sr 3.71



Record 5
Density functional theory data (PBE-GGA) for LiLaRu2 after structural relaxation.

DOS(E_F) = 10.073 states/eV per cell
ΔE_f = 0.331 eV per atom

Unit cell a=4.1879 b=4.1879 c=9.4142 alpha=77.15 beta=77.15 gamma=90.00
Last column: nearest neighbours and their distance in Å.
Sites, in units of the cell vectors:
Ru 0.3750 0.4703 0.7500  2 Ru 2.46, 2 Li 2.55
Ru 0.2203 0.6250 0.2500  2 Ru 2.46, 2 Li 2.55
Ru 0.8750 0.7797 0.7500  2 Ru 2.46, 2 Li 2.55
Ru 0.5297 0.1250 0.2500  2 Ru 2.46, 2 Li 2.55
La 0.0000 0.0000 0.0000  4 Ru 2.86, 4 Li 2.96
La 0.7500 0.2500 0.5000  4 Ru 2.86, 4 Li 2.96
Li 0.5000 0.5000 0.0000  4 Ru 2.55
Li 0.2500 0.7500 0.5000  4 Ru 2.55



Record 6
Density functional theory data (PBE-GGA) for Nd2CuBiS5 after structural relaxation.

raw formation energy = -120.9 kJ per mole of atoms

Unit cell a=3.9587 b=8.6366 c=11.9010 alpha=90.00 beta=90.00 gamma=103.25
Last column: nearest neighbours and their distance in Å.
Sites, in units of the cell vectors:
S 0.9654 0.9308 0.5720  2 Cu 2.29
S 0.5082 0.0164 0.7940  1 Cu 2.30
S 0.6438 0.2876 0.4973  1 Cu 2.44
S 0.7037 0.4073 0.8259  2 Bi 2.86, 3 Nd 2.99-3.06, 2 S 3.17
S 0.2963 0.5927 0.3259  2 Bi 2.86, 3 Nd 2.99-3.06, 2 S 3.17
S 0.2948 0.5896 0.6622  2 Bi 2.80, 3 Nd 3.01-3.02
S 0.7052 0.4104 0.1622  2 Bi 2.80, 3 Nd 3.01-3.02
S 0.0346 0.0692 0.0720  2 Cu 2.29
S 0.3562 0.7124 0.9973  1 Cu 2.44
S 0.4918 0.9836 0.2940  1 Cu 2.30
Nd 0.1152 0.2305 0.3035  8 S 2.87-3.08
Nd 0.8839 0.7678 0.1844  8 S 2.87-3.02
Nd 0.8848 0.7695 0.8035  8 S 2.87-3.08
Nd 0.1161 0.2322 0.6844  8 S 2.87-3.02
Cu 0.5014 0.0029 0.9868  4 S 2.29-2.44
Cu 0.4986 0.9971 0.4868  4 S 2.29-2.44
Bi 0.8122 0.6245 0.4980  6 S 2.72-2.86
Bi 0.1878 0.3755 0.9980  6 S 2.72-2.86



Record 7
Density functional theory data (PBE-GGA) for Ti3BF after structural relaxation.

DOS(E_F) = 8.334 states/eV per cell
raw formation energy = -17.3 kJ per mole of atoms

Unit cell a=4.0167 b=4.0167 c=4.0167 alpha=90.00 beta=90.00 gamma=90.00
Last column: nearest neighbours and their distance in Å.
Sites, in units of the cell vectors:
Ti 0.0000 0.0000 0.5000  2 F 2.01
Ti 0.0000 0.5000 0.0000  2 F 2.01
Ti 0.5000 0.0000 0.0000  2 F 2.01
B 0.5000 0.5000 0.5000  12 Ti 2.84
F 0.0000 0.0000 0.0000  6 Ti 2.01



Record 8
Density functional theory data (PBE-GGA) for Cs3K2Na8 after structural relaxation.

DOS(E_F) = 9.279 states/eV per cell
ΔE_f = 0.077 eV per atom

Unit cell a=7.5075 b=7.5075 c=16.8581 alpha=77.13 beta=77.14 gamma=60.00
Last column: nearest neighbours and their distance in Å.
Sites, in units of the cell vectors:
Na 0.6817 0.6817 0.9548  1 K 3.78, 1 Cs 4.15
Na 0.6994 0.1843 0.4169  6 Na 3.51-3.87
Na 0.1843 0.6994 0.4169  6 Na 3.51-3.87
Na 0.6994 0.6994 0.4169  6 Na 3.51-3.87
Na 0.3183 0.3183 0.0452  1 K 3.78, 1 Cs 4.15
Na 0.3006 0.3006 0.5831  6 Na 3.51-3.87
Na 0.8157 0.3006 0.5831  6 Na 3.51-3.87
Na 0.3006 0.8157 0.5831  6 Na 3.51-3.87
Cs 0.2333 0.2333 0.3002  7 Na 4.15-4.21
Cs 0.7667 0.7667 0.6998  7 Na 4.15-4.21
Cs 0.0000 0.0000 0.0000  6 Na 4.40
K 0.6044 0.6044 0.1868  1 Na 3.78
K 0.3956 0.3956 0.8132  1 Na 3.78



Record 9
Density functional theory data (PBE-GGA) for KTlSb2C after structural relaxation.

DOS(E_F) = 7.227 states/eV per cell
raw formation energy = 189.9 kJ per mole of atoms

Unit cell a=6.0041 b=4.9854 c=6.0041 alpha=90.00 beta=90.00 gamma=90.00
Last column: nearest neighbours and their distance in Å.
Sites, in units of the cell vectors:
K 0.0000 0.0000 0.0000  2 C 2.49
Sb 0.5000 0.0000 0.0000  2 K 3.00
Sb 0.0000 0.0000 0.5000  2 K 3.00
C 0.0000 0.5000 0.0000  2 K 2.49
Tl 0.5000 0.5000 0.5000  8 Sb 3.90, 4 C 4.25



Record 10
Density functional theory data (PBE-GGA) for Ta2BeNi after structural relaxation.

DOS(E_F) = 4.442 states/eV per cell
ΔE_f = -0.037 eV per atom

Unit cell a=3.6302 b=3.9433 c=3.9433 alpha=90.00 beta=90.00 gamma=90.00
Last column: nearest neighbours and their distance in Å.
Sites, in units of the cell vectors:
Ta 0.0000 0.5000 0.5000  4 Ni 2.68, 4 Be 2.68, 4 Ta 2.79
Ta 0.0000 0.0000 0.0000  4 Be 2.68, 4 Ni 2.68, 4 Ta 2.79
Be 0.5000 0.5000 0.0000  8 Ta 2.68, 4 Ni 2.79
Ni 0.5000 0.0000 0.5000  8 Ta 2.68, 4 Be 2.79



Record 11
Density functional theory data (PBE-GGA) for Sc2Co5B2Mo after structural relaxation.

DOS(E_F) = 16.686 states/eV per cell
ΔE_f = -0.404 eV per atom

Unit cell a=2.9587 b=8.8599 c=8.8599 alpha=90.00 beta=90.00 gamma=90.00
Last column: nearest neighbours and their distance in Å.
Sites, in units of the cell vectors:
Co 0.5000 0.0000 0.5000  4 B 2.08
Co 0.5000 0.2266 0.0694  2 B 2.07
Co 0.5000 0.2734 0.5694  2 B 2.07
Co 0.5000 0.5694 0.7266  2 B 2.07
Co 0.5000 0.9306 0.2266  2 B 2.07
Co 0.5000 0.4306 0.2734  2 B 2.07
Co 0.5000 0.7266 0.4306  2 B 2.07
Co 0.5000 0.7734 0.9306  2 B 2.07
Co 0.5000 0.0694 0.7734  2 B 2.07
Co 0.5000 0.5000 0.0000  4 B 2.08
B 0.0000 0.6172 0.8828  6 Co 2.07-2.08
B 0.0000 0.1172 0.6172  6 Co 2.07-2.08
B 0.0000 0.3828 0.1172  6 Co 2.07-2.08
B 0.0000 0.8828 0.3828  6 Co 2.07-2.08
Sc 0.0000 0.6764 0.1764  3 B 2.59-2.65, 10 Co 2.66-2.77
Sc 0.0000 0.3236 0.8236  3 B 2.59-2.65, 10 Co 2.66-2.77
Sc 0.0000 0.8236 0.6764  3 B 2.59-2.65, 10 Co 2.66-2.77
Sc 0.0000 0.1764 0.3236  3 B 2.59-2.65, 10 Co 2.66-2.77
Mo 0.0000 0.5000 0.5000  8 Co 2.57
Mo 0.0000 0.0000 0.0000  8 Co 2.57



Record 12
Density functional theory data (PBE-GGA) for Ac4Ge2Ir after structural relaxation.

DOS(E_F) = 4.233 states/eV per cell
ΔE_f = -0.529 eV per atom

Unit cell a=4.5614 b=7.9932 c=8.4679 alpha=120.13 beta=105.62 gamma=90.00
Last column: nearest neighbours and their distance in Å.
Sites, in units of the cell vectors:
Ac 0.6289 0.2659 0.2577  2 Ir 3.08, 3 Ge 3.21-3.29
Ac 0.8825 0.1900 0.7649  1 Ir 3.00, 3 Ge 3.13-3.18
Ac 0.3711 0.7341 0.7423  2 Ir 3.08, 3 Ge 3.21-3.29
Ac 0.1175 0.8100 0.2351  1 Ir 3.00, 3 Ge 3.13-3.18
Ge 0.7258 0.7331 0.4515  6 Ac 3.13-3.29
Ge 0.2742 0.2669 0.5485  6 Ac 3.13-3.29
Ir 0.0000 0.0000 0.0000  6 Ac 3.00-3.08



Record 13
Density functional theory data (PBE-GGA) for ScNb2Ga8 after structural relaxation.

DOS(E_F) = 5.506 states/eV per cell
ΔE_f = -0.076 eV per atom

Unit cell a=5.2120 b=6.9555 c=6.9396 alpha=59.92 beta=80.53 gamma=70.83
Last column: nearest neighbours and their distance in Å.
Sites, in units of the cell vectors:
Ga 0.7405 0.5879 0.0000  3 Ga 2.58-2.76, 1 Sc 2.73, 2 Nb 2.83
Ga 0.1785 0.6724 0.2138  3 Ga 2.57-2.80, 2 Nb 2.67-2.71
Ga 0.1785 0.8861 0.7862  3 Ga 2.57-2.80, 2 Nb 2.67-2.71
Ga 0.8215 0.1139 0.2138  3 Ga 2.57-2.80, 2 Nb 2.67-2.71
Ga 0.5000 0.7603 0.4795  2 Nb 2.68, 2 Ga 2.80, 1 Sc 2.88
Ga 0.5000 0.2397 0.5205  2 Nb 2.68, 2 Ga 2.80, 1 Sc 2.88
Ga 0.8215 0.3276 0.7862  3 Ga 2.57-2.80, 2 Nb 2.67-2.71
Ga 0.2595 0.4121 0.0000  3 Ga 2.58-2.76, 1 Sc 2.73, 2 Nb 2.83
Nb 0.0000 0.2901 0.4197  8 Ga 2.67-2.83
Nb 0.0000 0.7099 0.5803  8 Ga 2.67-2.83
Sc 0.5000 0.0000 0.0000  8 Ga 2.73-2.92



Record 14
Density functional theory data (PBE-GGA) for Rb2AlVS4 after structural relaxation.

DOS(E_F) = 1.122 states/eV per cell
raw formation energy = -108.7 kJ per mole of atoms

Unit cell a=5.8438 b=7.5337 c=12.2027 alpha=84.67 beta=76.15 gamma=67.18
Last column: nearest neighbours and their distance in Å.
Sites, in units of the cell vectors:
Rb 0.8219 0.0000 0.3562  8 S 3.57-3.71
Rb 0.9281 0.5000 0.1438  8 S 3.57-3.71
Rb 0.1781 0.0000 0.6438  8 S 3.57-3.71
Rb 0.5719 0.5000 0.8562  8 S 3.57-3.71
S 0.2017 0.1853 0.8983  1 Al 2.27, 1 V 2.31
S 0.2853 0.8147 0.1017  1 Al 2.27, 1 V 2.31
S 0.9000 0.8147 0.8983  1 Al 2.27, 1 V 2.31
S 0.5483 0.3147 0.6017  1 Al 2.27, 1 V 2.31
S 0.6130 0.1853 0.1017  1 Al 2.27, 1 V 2.31
S 0.8500 0.6853 0.6017  1 Al 2.27, 1 V 2.31
S 0.4647 0.6853 0.3983  1 Al 2.27, 1 V 2.31
S 0.1370 0.3147 0.3983  1 Al 2.27, 1 V 2.31
V 0.2500 0.5000 0.5000  4 S 2.31
V 0.5000 0.0000 0.0000  4 S 2.31
Al 0.0000 0.0000 0.0000  4 S 2.27
Al 0.7500 0.5000 0.5000  4 S 2.27



Record 15
Density functional theory data (PBE-GGA) for YHgAu2 after structural relaxation.

DOS(E_F) = 5.041 states/eV per cell
ΔE_f = -0.297 eV per atom

Unit cell a=7.9301 b=7.9301 c=6.4012 alpha=51.73 beta=51.73 gamma=90.00
Last column: nearest neighbours and their distance in Å.
Sites, in units of the cell vectors:
Y 0.2500 0.7500 0.5000  4 Au 2.93, 2 Hg 3.09
Y 0.5000 0.5000 0.0000  4 Au 2.93, 2 Hg 3.09
Au 0.8750 0.8786 0.7500  2 Hg 2.89, 2 Y 2.93, 2 Au 3.09
Au 0.1214 0.6250 0.2500  2 Hg 2.89, 2 Y 2.93, 2 Au 3.09
Au 0.6286 0.1250 0.2500  2 Hg 2.89, 2 Y 2.93, 2 Au 3.09
Au 0.3750 0.3714 0.7500  2 Hg 2.89, 2 Y 2.93, 2 Au 3.09
Hg 0.0000 0.0000 0.0000  4 Au 2.89, 2 Y 3.09
Hg 0.7500 0.2500 0.5000  4 Au 2.89, 2 Y 3.09



Record 16
Density functional theory data (PBE-GGA) for CdTe2Mo after structural relaxation.

DOS(E_F) = 2.201 states/eV per cell
raw formation energy = 56.0 kJ per mole of atoms

Unit cell a=7.0548 b=7.0548 c=7.0548 alpha=146.22 beta=146.22 gamma=48.52
Last column: nearest neighbours and their distance in Å.
Sites, in units of the cell vectors:
Te 0.2500 0.7500 0.5000  4 Mo 2.90
Te 0.0000 0.0000 0.0000  4 Cd 2.90
Mo 0.7500 0.2500 0.5000  4 Te 2.90
Cd 0.5000 0.5000 0.0000  4 Te 2.90



Record 17
Density functional theory data (PBE-GGA) for Pa2FeW after structural relaxation.

DOS(E_F) = 5.467 states/eV per cell
ΔE_f = 0.752 eV per atom

Unit cell a=3.4136 b=3.4136 c=8.7670 alpha=78.77 beta=78.77 gamma=60.00
Last column: nearest neighbours and their distance in Å.
Sites, in units of the cell vectors:
Pa 0.8999 0.8999 0.3004  1 W 2.57, 3 Fe 2.61
Pa 0.1001 0.1001 0.6996  1 W 2.57, 3 Fe 2.61
Fe 0.5000 0.5000 0.5000  6 Pa 2.61
W 0.0000 0.0000 0.0000  2 Pa 2.57



Record 18
Density functional theory data (PBE-GGA) for TaCuAu after structural relaxation.

DOS(E_F) = 1.738 states/eV per cell
ΔE_f = 0.139 eV per atom

Unit cell a=2.8771 b=2.8771 c=6.8644 alpha=90.00 beta=90.00 gamma=120.00
Last column: nearest neighbours and their distance in Å.
Sites, in units of the cell vectors:
Ta 0.3333 0.6667 0.6562  3 Cu 2.77, 6 Ta 2.88, 3 Au 2.94
Cu 0.6667 0.3333 0.3341  3 Ta 2.77, 3 Au 2.78, 6 Cu 2.88
Au 0.0000 0.0000 0.0097  3 Cu 2.78, 6 Au 2.88, 3 Ta 2.94



Record 19
Density functional theory data (PBE-GGA) for RbAcTe2Au after structural relaxation.

DOS(E_F) = 6.169 states/eV per cell
raw formation energy = -90.2 kJ per mole of atoms

Unit cell a=5.0244 b=9.0101 c=9.1903 alpha=98.05 beta=90.00 gamma=90.00
Last column: nearest neighbours and their distance in Å.
Sites, in units of the cell vectors:
Te 0.6878 0.2501 0.5309  1 Au 2.73
Te 0.3122 0.7499 0.4691  1 Au 2.73
Te 0.6878 0.7499 0.9691  1 Au 2.73
Te 0.3122 0.2501 0.0309  1 Au 2.73
Ac 0.4919 0.0000 0.2500  4 Te 3.33-3.35, 4 Au 3.37-3.43
Ac 0.5081 0.0000 0.7500  4 Te 3.33-3.35, 4 Au 3.37-3.43
Au 0.0000 0.0000 0.0000  2 Te 2.73
Au 0.0000 0.0000 0.5000  2 Te 2.73
Rb 0.1675 0.5000 0.7500  6 Te 3.70-3.83
Rb 0.8325 0.5000 0.2500  6 Te 3.70-3.83



Record 20
Density functional theory data (PBE-GGA) for RbNa2Te after structural relaxation.

DOS(E_F) = 4.781 states/eV per cell
raw formation energy = -42.9 kJ per mole of atoms

Unit cell a=5.4135 b=5.4135 c=11.9622 alpha=76.92 beta=76.92 gamma=90.00
Last column: nearest neighbours and their distance in Å.
Sites, in units of the cell vectors:
Te 0.0000 0.0000 0.0000  4 Na 3.26
Te 0.7500 0.2500 0.5000  4 Na 3.26
Rb 0.2500 0.7500 0.5000  4 Na 3.63, 4 Te 3.83
Rb 0.5000 0.5000 0.0000  4 Na 3.63, 4 Te 3.83
Na 0.3750 0.2884 0.7500  2 Na 3.23, 2 Te 3.26
Na 0.8750 0.9616 0.7500  2 Na 3.23, 2 Te 3.26
Na 0.7116 0.1250 0.2500  2 Na 3.23, 2 Te 3.26
Na 0.0384 0.6250 0.2500  2 Na 3.23, 2 Te 3.26